Record 1
The following is a PBE calculation of a relaxed structure of Ac2LaPm2Ho, from Alexandria via LeMat-Bulk.

## Properties
- V: 37.6 Å³ per atom
- DOS(E_F): 1.52 states/eV per atom
- Formation enthalpy at 0 K: 7.48 kJ per mole of atoms

Geometry as CIF:
```
data_Ac2LaPm2Ho
_chemical_formula_sum 'Ac4 La2 Pm4 Ho2'
_space_group_name_H-M_alt 'P 1'
_space_group_IT_number 1
_cell_length_a 5.946
_cell_length_b 7.385
_cell_length_c 10.288
_cell_angle_alpha 90.00
_cell_angle_beta 90.00
_cell_angle_gamma 90.00
loop_
_space_group_symop_operation_xyz
'x,y,z'
loop_
_atom_site_label
_atom_site_type_symbol
_atom_site_fract_x
_atom_site_fract_y
_atom_site_fract_z
La1 La 0.000 0.008 0.500
La2 La 0.000 0.508 0.500
Ac1 Ac 0.500 0.007 0.000
Ac2 Ac 0.000 0.757 0.828
Ac3 Ac 0.500 0.507 0.000
Ac4 Ac 0.000 0.257 0.172
Pm1 Pm 0.500 0.758 0.658
Pm2 Pm 0.000 0.758 0.174
Pm3 Pm 0.000 0.258 0.826
Pm4 Pm 0.500 0.258 0.342
Ho1 Ho 0.500 0.258 0.665
Ho2 Ho 0.500 0.758 0.335
```



Record 2
The following is a PBE calculation of a relaxed structure of BaTlZnIn2, from Alexandria via LeMat-Bulk.

## Properties
- V: 29.2 Å³ per atom
- Energy above the most stable polymorph in this dataset: 0.0000 eV per atom
- DOS(E_F): 0.33 states/eV per atom
- Formation enthalpy at 0 K: -29.93 kJ per mole of atoms

Geometry as CIF:
```
data_BaTlZnIn2
_chemical_formula_sum 'Ba1 Tl1 Zn1 In2'
_space_group_name_H-M_alt 'P 1'
_space_group_IT_number 1
_cell_length_a 4.949
_cell_length_b 4.932
_cell_length_c 6.923
_cell_angle_alpha 110.87
_cell_angle_beta 110.94
_cell_angle_gamma 90.00
loop_
_space_group_symop_operation_xyz
'x,y,z'
loop_
_atom_site_label
_atom_site_type_symbol
_atom_site_fract_x
_atom_site_fract_y
_atom_site_fract_z
Zn1 Zn 0.823 0.823 0.647
In1 In 0.698 0.198 0.397
In2 In 0.048 0.048 0.097
Ba1 Ba 0.440 0.440 0.880
Tl1 Tl 0.202 0.702 0.404
```



Record 3
The following is a PBE calculation of a relaxed structure of La2NiTe, from Alexandria via LeMat-Bulk.

## Properties
- V: 27.6 Å³ per atom
- Formation energy (no corrections): -0.646 eV/atom
- DOS(E_F): 0.84 states/eV per atom

Geometry as CIF:
```
data_La2NiTe
_chemical_formula_sum 'La2 Ni1 Te1'
_space_group_name_H-M_alt 'P 1'
_space_group_IT_number 1
_cell_length_a 5.518
_cell_length_b 5.518
_cell_length_c 5.518
_cell_angle_alpha 131.30
_cell_angle_beta 113.93
_cell_angle_gamma 86.24
loop_
_space_group_symop_operation_xyz
'x,y,z'
loop_
_atom_site_label
_atom_site_type_symbol
_atom_site_fract_x
_atom_site_fract_y
_atom_site_fract_z
La1 La 0.525 0.525 0.000
La2 La 0.975 0.975 0.000
Ni1 Ni 0.750 0.250 0.500
Te1 Te 0.250 0.750 0.500
```



What did the third record say?
The following is a PBE calculation of a relaxed structure of La2NiTe, from Alexandria via LeMat-Bulk.

## Properties
- V: 27.6 Å³ per atom
- Formation energy (no corrections): -0.646 eV/atom
- DOS(E_F): 0.84 states/eV per atom

Geometry as CIF:
```
data_La2NiTe
_chemical_formula_sum 'La2 Ni1 Te1'
_space_group_name_H-M_alt 'P 1'
_space_group_IT_number 1
_cell_length_a 5.518
_cell_length_b 5.518
_cell_length_c 5.518
_cell_angle_alpha 131.30
_cell_angle_beta 113.93
_cell_angle_gamma 86.24
loop_
_space_group_symop_operation_xyz
'x,y,z'
loop_
_atom_site_label
_atom_site_type_symbol
_atom_site_fract_x
_atom_site_fract_y
_atom_site_fract_z
La1 La 0.525 0.525 0.000
La2 La 0.975 0.975 0.000
Ni1 Ni 0.750 0.250 0.500
Te1 Te 0.250 0.750 0.500
```